! NdYZrSc | Alexandria | PBE | optimized geometry; values from VASP
! ΔH_f (0 K)	78	kJ/mol of formula units
! symmetry	F-43m (216)
&SYSTEM
  ibrav = 0, nat = 4, ntyp = 4
/
ATOMIC_SPECIES
Y 88.91 Y.upf
Sc 44.96 Sc.upf
Nd 144.24 Nd.upf
Zr 91.22 Zr.upf
ATOMIC_POSITIONS crystal
Y 0.250 0.250 0.250
Sc 0.750 0.750 0.750
Nd 0.500 0.500 0.500
Zr 0.000 0.000 0.000
CELL_PARAMETERS angstrom
5.413 0.000 0.000
2.706 4.688 0.000
2.706 1.563 4.420

=====

! Rb2AcUS6 | Alexandria | PBE | optimized geometry; values from VASP
! energy relative to the elements, uncorrected	-1.341	eV per atom
! symmetry	P2_1/c (14)
&SYSTEM
  ibrav = 0, nat = 20, ntyp = 4
/
ATOMIC_SPECIES
Rb 85.47 Rb.upf
Ac 227.00 Ac.upf
U 238.03 U.upf
S 32.06 S.upf
ATOMIC_POSITIONS crystal
Rb 0.001 0.997 0.250
Rb 0.501 0.503 0.750
Rb 0.999 0.003 0.750
Rb 0.499 0.497 0.250
Ac 0.500 0.000 0.000
Ac 0.000 0.500 0.500
U 0.500 0.000 0.500
U 0.000 0.500 0.000
S 0.245 0.720 0.007
S 0.745 0.780 0.507
S 0.755 0.280 0.993
S 0.255 0.220 0.493
S 0.280 0.754 0.492
S 0.780 0.746 0.992
S 0.720 0.246 0.508
S 0.220 0.254 0.008
S 0.985 0.501 0.233
S 0.485 0.999 0.733
S 0.015 0.499 0.767
S 0.515 0.001 0.267
CELL_PARAMETERS angstrom
-4.747 3.672 4.848
-0.317 -6.291 4.454
8.608 3.588 5.681

=====

! LaZrCu | Alexandria | PBE | optimized geometry; values from VASP
! ΔH_f (0 K)	193	kJ/mol of formula units
! E above lowest polymorph	207	kJ/mol of formula units
! symmetry	F-43m (216)
&SYSTEM
  ibrav = 0, nat = 3, ntyp = 3
/
ATOMIC_SPECIES
Cu 63.55 Cu.upf
Zr 91.22 Zr.upf
La 138.91 La.upf
ATOMIC_POSITIONS crystal
Cu 0.750 0.750 0.750
Zr 0.500 0.500 0.500
La 0.250 0.250 0.250
CELL_PARAMETERS angstrom
-1.580 -4.330 -1.118
-4.397 -1.304 1.206
-3.320 -0.522 -3.346

=====

! Sm2Fe12P7 | Alexandria | PBE | optimized geometry; values from VASP
! ΔH_f (0 K)	-1384	kJ/mol of formula units
! symmetry	P-6 (174)
&SYSTEM
  ibrav = 0, nat = 21, ntyp = 3
/
ATOMIC_SPECIES
Sm 150.36 Sm.upf
Fe 55.84 Fe.upf
P 30.97 P.upf
ATOMIC_POSITIONS crystal
Sm 0.000 0.667 0.333
Sm 0.500 0.333 0.667
Fe 0.000 0.370 0.945
Fe 0.000 0.055 0.425
Fe 0.000 0.575 0.630
Fe 0.000 0.881 0.727
Fe 0.000 0.273 0.154
Fe 0.000 0.846 0.119
Fe 0.500 0.952 0.569
Fe 0.500 0.431 0.383
Fe 0.500 0.617 0.048
Fe 0.500 0.118 0.904
Fe 0.500 0.096 0.214
Fe 0.500 0.786 0.882
P 0.000 0.110 0.701
P 0.000 0.298 0.409
P 0.000 0.591 0.890
P 0.500 0.711 0.602
P 0.500 0.398 0.109
P 0.500 0.891 0.289
P 0.000 0.000 0.000
CELL_PARAMETERS angstrom
3.666 0.000 0.000
0.000 9.009 0.005
0.000 -4.511 7.798

=====

! Cs2MgNbSe4 | Alexandria | PBE | optimized geometry; values from VASP
! energy relative to the elements, uncorrected	-1.061	eV per atom
! symmetry	Fddd (70)
&SYSTEM
  ibrav = 0, nat = 16, ntyp = 4
/
ATOMIC_SPECIES
Cs 132.91 Cs.upf
Mg 24.30 Mg.upf
Nb 92.91 Nb.upf
Se 78.96 Se.upf
ATOMIC_POSITIONS crystal
Cs 0.178 0.000 0.644
Cs 0.822 0.000 0.356
Cs 0.572 0.500 0.856
Cs 0.928 0.500 0.144
Mg 0.750 0.500 0.500
Mg 0.000 0.000 0.000
Nb 0.250 0.500 0.500
Nb 0.500 0.000 0.000
Se 0.307 0.808 0.105
Se 0.220 0.192 0.895
Se 0.885 0.808 0.895
Se 0.588 0.192 0.105
Se 0.443 0.692 0.395
Se 0.530 0.308 0.605
Se 0.865 0.692 0.605
Se 0.162 0.308 0.395
CELL_PARAMETERS angstrom
6.313 0.000 0.000
3.157 7.448 0.000
3.157 0.000 13.072

=====

! LaScFe3 | Alexandria | PBE | optimized geometry; values from VASP
! ΔH_f (0 K)	630	kJ/mol of formula units
! E above lowest polymorph	238	kJ/mol of formula units
! symmetry	Pm-3m (221)
&SYSTEM
  ibrav = 0, nat = 5, ntyp = 3
/
ATOMIC_SPECIES
Sc 44.96 Sc.upf
Fe 55.84 Fe.upf
La 138.91 La.upf
ATOMIC_POSITIONS crystal
Sc 0.500 0.500 0.500
Fe 0.000 0.500 0.000
Fe 0.000 0.000 0.500
Fe 0.500 0.000 0.000
La 0.000 0.000 0.000
CELL_PARAMETERS angstrom
-2.193 2.166 3.333
1.897 -2.775 3.051
3.493 2.866 0.436